Entry from Alexandria: a relaxed structure of Cs2NaCdAs (PBE).

POSCAR file:
```
Cs2NaCdAs
1.0
7.442 0.000 0.000
0.000 7.442 0.000
0.000 0.000 5.114
As Cd Cs Na
1 1 2 1
direct
0.000 0.000 0.000
0.000 0.000 0.500
0.000 0.500 0.000
0.500 0.000 0.000
0.500 0.500 0.500
```

Summary:
As for the space-group type: P4/mmm. The total magnetization comes out at 0.0 μB per cell. For the energy of formation from the pure elements, the calculation gives -81 meV/atom.